Entry from Alexandria via LeMat-Bulk: a relaxed structure of LiCd2Au8 (PBE).

```
11
Lattice="-1.2241 2.8784 -4.3859 -4.3959 -1.8482 -6.5729 -7.5650 1.3068 -0.3243" Properties=species:S:1:pos:R:3 pbc="T T T"
Li -0.6121 1.4392 -2.1929
Cd -4.2744 -0.0610 -2.1405
Cd -7.6866 -0.4804 -4.7568
Au -3.2060 2.7226 -4.6653
Au -8.3846 3.0374 -6.3067
Au -2.1833 0.1918 -4.1004
Au -7.3313 0.5567 -7.4836
Au -5.8538 1.7803 -3.7995
Au -3.4367 0.8384 -6.8584
Au -4.8005 -0.7004 -4.9764
Au -9.9791 -0.3855 -6.6178
```

E_tot in eV/cell: -31.291
E_form in meV per atom: -121

Entry from Alexandria via LeMat-Bulk: a relaxed structure of H3SF (PBE).

```
5
Lattice="3.3447 0.0000 0.0000 0.0000 3.3447 0.0000 0.0000 0.0000 3.3447" Properties=species:S:1:pos:R:3 pbc="T T T"
H 0.0000 1.6723 0.0000
H 0.0000 0.0000 1.6723
H 1.6723 0.0000 0.0000
S 1.6723 1.6723 1.6723
F 0.0000 0.0000 0.0000
```

E_tot in eV/cell: -11.767

Entry from Alexandria via LeMat-Bulk: a relaxed structure of Ce2NdY3P6 (PBE).

```
12
Lattice="-2.6959 -2.2753 6.0941 -2.9442 -1.9410 -6.0948 5.8407 -3.8934 -0.2258" Properties=species:S:1:pos:R:3 pbc="T T T"
Ce -2.8615 -2.0524 -2.0348
Ce -2.7786 -2.1640 2.0341
Nd 0.0000 0.0000 0.0000
Y 0.0173 -3.9431 -4.1879
Y 0.1833 -4.1666 3.9614
Y 0.1003 -4.0549 -0.1133
P 0.1922 -6.1089 1.8924
P -2.7248 -4.1387 -0.0580
P 0.0084 -2.0008 -2.1189
P 0.1082 -5.9958 -2.2305
P 2.9254 -3.9711 -0.1685
P 0.0924 -2.1139 2.0040
```

E_tot in eV/cell: -87.392
E_form in meV per atom: -1575

Entry from Alexandria via LeMat-Bulk: a relaxed structure of Ho2Al2S7 (PBE).

```
11
Lattice="6.5610 -0.1442 -0.1880 -1.3125 6.8746 -0.5990 -1.3125 -2.3611 6.4842" Properties=species:S:1:pos:R:3 pbc="T T T"
Ho 1.9680 0.4495 4.1793
Ho 1.9680 3.9198 1.5179
Al -1.1118 3.4439 4.4905
Al 5.0478 0.9254 1.2066
S -0.0738 1.7459 5.4343
S 4.0098 -0.4264 2.6018
S 4.0098 2.6233 0.2629
S -0.0738 4.7957 3.0954
S 0.6728 1.4498 1.8904
S 0.0000 0.0000 0.0000
S 3.2632 2.9195 3.8068
```

E_tot in eV/cell: -59.481